[1]
! NbV4Hg, optimized geometry, DFT PBE; values from VASP
&SYSTEM
  ibrav = 0, nat = 6, ntyp = 3
/
ATOMIC_SPECIES
V 50.94 V.upf
Nb 92.91 Nb.upf
Hg 200.59 Hg.upf
CELL_PARAMETERS angstrom
5.076 0.000 0.000
2.538 4.396 0.000
2.538 1.465 4.145
ATOMIC_POSITIONS crystal
V 0.114 0.629 0.629
V 0.629 0.114 0.629
V 0.629 0.629 0.114
V 0.629 0.629 0.629
Nb 0.000 0.000 0.000
Hg 0.250 0.250 0.250
! volume: 92 Å³/cell
! DFT formation energy: 141 meV/atom
! N(E_F): 5.112 states/eV per cell

---

[2]
! Ba2NaC, optimized geometry, DFT PBE; values from VASP
&SYSTEM
  ibrav = 0, nat = 8, ntyp = 3
/
ATOMIC_SPECIES
Na 22.99 Na.upf
Ba 137.33 Ba.upf
C 12.01 C.upf
CELL_PARAMETERS angstrom
8.493 0.000 0.000
0.000 8.493 0.000
4.246 4.246 4.819
ATOMIC_POSITIONS crystal
Na 0.000 0.000 0.000
Na 0.750 0.250 0.500
Ba 0.375 0.495 0.750
Ba 0.245 0.625 0.250
Ba 0.505 0.125 0.250
Ba 0.875 0.755 0.750
C 0.250 0.750 0.500
C 0.500 0.500 0.000
! volume: 348 Å³/cell
! DFT formation energy: 644 meV/atom
! N(E_F): 11.926 states/eV per cell

---

[3]
! HfZnSb2Te, optimized geometry, DFT PBE; values from VASP
&SYSTEM
  ibrav = 0, nat = 5, ntyp = 4
/
ATOMIC_SPECIES
Sb 121.76 Sb.upf
Zn 65.41 Zn.upf
Te 127.60 Te.upf
Hf 178.49 Hf.upf
CELL_PARAMETERS angstrom
5.085 0.000 0.000
0.000 5.085 0.000
0.000 0.000 5.286
ATOMIC_POSITIONS crystal
Sb 0.500 0.000 0.000
Sb 0.000 0.500 0.000
Zn 0.000 0.000 0.000
Te 0.000 0.000 0.500
Hf 0.500 0.500 0.500
! volume: 137 Å³/cell
! ΔE_f (raw): 675 meV/atom
! N(E_F): 5.308 states/eV per cell

---

[4]
! GaPb3, optimized geometry, DFT PBE; values from VASP
&SYSTEM
  ibrav = 0, nat = 16, ntyp = 2
/
ATOMIC_SPECIES
Pb 207.20 Pb.upf
Ga 69.72 Ga.upf
CELL_PARAMETERS angstrom
7.069 0.000 0.000
0.000 7.069 0.000
0.000 0.000 9.253
ATOMIC_POSITIONS crystal
Pb 0.264 0.236 0.000
Pb 0.685 0.185 0.500
Pb 0.185 0.315 0.500
Pb 0.000 0.000 0.258
Pb 0.500 0.500 0.742
Pb 0.815 0.685 0.500
Pb 0.764 0.264 0.000
Pb 0.500 0.500 0.258
Pb 0.236 0.736 0.000
Pb 0.736 0.764 0.000
Pb 0.315 0.815 0.500
Pb 0.000 0.000 0.742
Ga 0.500 0.000 0.229
Ga 0.500 0.000 0.771
Ga 0.000 0.500 0.771
Ga 0.000 0.500 0.229
! volume: 462 Å³/cell
! DFT formation energy: 53 meV/atom
! N(E_F): 6.431 states/eV per cell